A geometry-optimized CsVN2F structure, computed with PBE+U.

a = 4.021 Å, b = 4.021 Å, c = 4.729 Å
α = 90.00°, β = 90.00°, γ = 90.00°
Element x y z (fractional)
Cs: 0.000 0.000 0.000
V: 0.500 0.500 0.500
N: 0.000 0.500 0.500
N: 0.500 0.000 0.500
F: 0.500 0.500 0.000

## Properties
Distance to the lowest polymorph of the same formula in meV/atom: 0
Mass density in g cm⁻³: 5.01
SG: P4/mmm, No. 123